Density functional theory data (GGA-PBE) for a geometry-optimized P3PdF12 structure.

It has space group R3c (No. 161, hexagonal axes), with a = 8.2611 Å, b = 8.2611 Å, c = 34.7679 Å, α = 90.00°, β = 90.00° and γ = 120.00°. The inequivalent atoms are P at (0.0615, 0.3452, 0.0000), Pd at (0.0000, 0.0000, 0.4171), F at (0.0229, 0.2291, 0.3780), F at (0.0460, 0.2269, 0.9541), F at (0.1575, 0.4115, 0.3197) and F at (0.1812, 0.4308, 0.6860).

The calculation puts the total moment at 6.11 Bohr magnetons per cell. Its density of states at the Fermi level is 23.26 states/eV per cell. The calculation puts the formation energy without anion corrections at -1.968 eV per atom.